Here is crystalline NaMgMn2O4 at its relaxed geometry from Alexandria via LeMat-Bulk. Energies are from PBE+U.

Results
DOS(E_F) = 0.4108 states/eV/atom
E_tot = -6.474 eV per atom

Unit cell a=5.3173 b=5.1864 c=5.1864 alpha=61.67 beta=59.15 gamma=59.15
Each line ends with the local moment (μB).
Sites, in units of the cell vectors:
Na 0.0000 0.0000 0.0000  0.00
Mg 0.5000 0.5000 0.5000  0.00
Mn 0.2500 0.2500 0.2500  4.31
Mn 0.7500 0.7500 0.7500  4.31
O 0.4324 0.1260 0.5676  -0.01
O 0.1260 0.8740 0.4324  -0.01
O 0.8740 0.5676 0.1260  -0.01
O 0.5676 0.4324 0.8740  -0.01